(1)
VASP calculation (GGA-PBEsol) on a geometry-optimized CdCu3 structure.

Cell lengths 4.3066, 5.2746, 4.6773 Å; angles 90.00, 90.00, 90.00 degrees
Last column: nearest neighbours and their distance in Å.
Sites, in units of the cell vectors:
Cd: 0.2500 0.2500 0.1507  12 Cu 2.65-2.70
Cd: 0.7500 0.7500 0.8493  12 Cu 2.65-2.70
Cu: 0.2500 0.0018 0.6533  7 Cu 2.51-2.66, 4 Cd 2.67-2.69
Cu: 0.2500 0.4982 0.6533  7 Cu 2.51-2.66, 4 Cd 2.67-2.69
Cu: 0.2500 0.7500 0.1967  6 Cu 2.51-2.62, 4 Cd 2.65-2.70
Cu: 0.7500 0.2500 0.8033  6 Cu 2.51-2.62, 4 Cd 2.65-2.70
Cu: 0.7500 0.5018 0.3467  7 Cu 2.51-2.66, 4 Cd 2.67-2.69
Cu: 0.7500 0.9982 0.3467  7 Cu 2.51-2.66, 4 Cd 2.67-2.69

Output
raw total energy = -27.966 eV/cell
space group = Pmmn, No. 59
crystal system = orthorhombic
size of the total moment = 0.0 μB/f.u.
DFT formation energy = 0.054 eV per atom

***

(2)
VASP calculation (GGA-PBEsol) on a geometry-optimized LiCd structure.

Cell lengths 4.5869, 4.5869, 8.2227 Å; angles 90.00, 90.00, 120.00 degrees
Last column: nearest neighbours and their distance in Å.
Sites, in units of the cell vectors:
Li: 0.0000 0.0000 0.2500  3 Li 2.65
Li: 0.0000 0.0000 0.7500  3 Li 2.65
Li: 0.3333 0.6667 0.2500  3 Li 2.65, 2 Cd 2.69
Li: 0.6667 0.3333 0.7500  3 Li 2.65, 2 Cd 2.69
Cd: 0.3333 0.6667 0.5773  7 Li 2.69-3.00, 4 Cd 2.84-2.94
Cd: 0.3333 0.6667 0.9227  7 Li 2.69-3.00, 4 Cd 2.84-2.94
Cd: 0.6667 0.3333 0.0773  7 Li 2.69-3.00, 4 Cd 2.84-2.94
Cd: 0.6667 0.3333 0.4227  7 Li 2.69-3.00, 4 Cd 2.84-2.94

Output
raw total energy = -13.964 eV/cell
space group = P6_3/mmc, No. 194
crystal system = hexagonal
size of the total moment = 0.0 μB/f.u.
DFT formation energy = -0.164 eV per atom

***

(3)
VASP calculation (GGA-PBEsol) on a geometry-optimized BaNdMnCoO5 structure.

Cell lengths 3.8500, 3.8500, 7.6474 Å; angles 90.00, 90.00, 90.00 degrees
Last column: nearest neighbours and their distance in Å.
Sites, in units of the cell vectors:
Ba: 0.0000 0.0000 0.0000  8 O 2.74-2.89
Nd: 0.0000 0.0000 0.5193  8 O 2.45-2.47
Mn: 0.5000 0.5000 0.2785  5 O 1.82-1.95
Co: 0.5000 0.5000 0.7190  4 O 1.92
O: 0.0000 0.5000 0.3171  2 Mn 1.95
O: 0.0000 0.5000 0.7178  2 Co 1.92
O: 0.5000 0.0000 0.3171  2 Mn 1.95
O: 0.5000 0.0000 0.7178  2 Co 1.92
O: 0.5000 0.5000 0.0405  1 Mn 1.82

Output
raw total energy = -70.940 eV/cell
space group = P4mm, No. 99
uncorrected formation energy = -2.209 eV/atom
crystal system = tetragonal
size of the total moment = 5.3 μB/f.u.